[1]
CaPm2NdHg4 | PBE | optimized geometry

Formation energy from the elements in meV per atom: -506
Crystal system: trigonal
Total energy in eV per atom: -2.6906

Geometry as extended XYZ:
```
8
Lattice="2.694 1.555 8.813 -2.694 1.555 8.813 0.000 -3.110 8.813" Properties=species:S:1:pos:R:3 pbc="T T T"
Ca 0.000 0.000 0.000
Pm 0.000 0.000 6.678
Pm 0.000 0.000 19.761
Nd 0.000 0.000 13.219
Hg 0.000 0.000 3.305
Hg 0.000 0.000 9.928
Hg 0.000 0.000 16.511
Hg 0.000 0.000 23.134
```


[2]
Li2Tl2Cu | PBE | optimized geometry

Formation energy from the elements in meV per atom: 9
Crystal system: tetragonal
Total energy in eV per atom: -2.5220

Geometry as extended XYZ:
```
10
Lattice="7.345 0.000 0.000 0.000 7.345 0.000 0.000 0.000 3.724" Properties=species:S:1:pos:R:3 pbc="T T T"
Li 1.099 2.574 0.000
Li 2.574 6.246 0.000
Li 4.771 1.099 0.000
Li 6.246 4.771 0.000
Tl 1.141 4.813 1.862
Tl 2.532 1.141 1.862
Tl 4.813 6.204 1.862
Tl 6.204 2.532 1.862
Cu 0.000 0.000 1.862
Cu 3.673 3.673 1.862
```


[3]
LiFeSe2 | PBE | optimized geometry

Formation energy from raw total energies in meV per atom: 125
Crystal system: trigonal
Total energy in eV per atom: -4.2112

Geometry as extended XYZ:
```
4
Lattice="1.541 0.890 8.256 -1.541 0.890 8.256 0.000 -1.780 8.256" Properties=species:S:1:pos:R:3 pbc="T T T"
Li 0.000 0.000 0.000
Fe 0.000 0.000 12.384
Se 0.000 0.000 10.151
Se 0.000 0.000 14.617
```


[4]
HfSc3Cd | PBE | optimized geometry

Formation energy from the elements in meV per atom: -104
Crystal system: monoclinic
Total energy in eV per atom: -6.0770

Geometry as extended XYZ:
```
10
Lattice="9.751 -1.629 0.000 9.751 1.629 0.000 -2.032 0.000 7.225" Properties=species:S:1:pos:R:3 pbc="T T T"
Hf 3.551 0.000 2.333
Hf 13.919 0.000 4.891
Sc 1.816 0.000 6.429
Sc 6.547 0.000 3.473
Sc 6.242 0.000 6.606
Sc 11.228 0.000 0.618
Sc 10.924 0.000 3.752
Sc 15.654 0.000 0.796
Cd -1.105 0.000 5.209
Cd 18.576 0.000 2.016
```


[5]
Ca2CdSe | PBE | optimized geometry

Formation energy from raw total energies in meV per atom: -793
Crystal system: orthorhombic
Total energy in eV per atom: -2.8937

Geometry as extended XYZ:
```
4
Lattice="-2.086 2.984 4.753 2.086 -2.984 4.753 2.086 2.984 -4.753" Properties=species:S:1:pos:R:3 pbc="T T T"
Ca 0.000 0.000 1.995
Ca 0.000 0.000 7.512
Cd 0.000 2.984 0.000
Se 2.086 0.000 0.000
```